VASP calculation (PBE with a Hubbard U) on a relaxed MoO2F crystal.

```
data_MoO2F
_cell_length_a 3.3000
_cell_length_b 3.3000
_cell_length_c 18.1133
_cell_angle_alpha 90.00
_cell_angle_beta 90.00
_cell_angle_gamma 120.00
_space_group_name_H-M_alt 'R -3 m'
_space_group_IT_number 166
_space_group_name_Hall '-R 3 2"'
loop_
_atom_site_label
_atom_site_fract_x
_atom_site_fract_y
_atom_site_fract_z
Mo1 0.0000 0.0000 0.0000
O1 0.0000 0.0000 0.3791
F1 0.0000 0.0000 0.5000
```

Properties
- E above lowest polymorph: 0.891 eV per atom